Entry 1:
! KNdGeTe3 (PBE, optimized geometry); values from VASP
! Total DFT energy (no corrections) (eV/cell): -50.201
&SYSTEM
  ibrav = 0, nat = 12, ntyp = 4
/
ATOMIC_SPECIES
K 39.10 K.upf
Nd 144.24 Nd.upf
Ge 72.64 Ge.upf
Te 127.60 Te.upf
CELL_PARAMETERS angstrom
2.382 -7.722 0.000
2.382 7.722 0.000
0.000 0.000 12.213
ATOMIC_POSITIONS angstrom
K 2.382 3.911 9.160
K 2.382 -3.911 3.053
Nd 0.000 0.000 0.000
Nd 0.000 0.000 6.107
Ge 2.382 0.510 3.053
Ge 2.382 -0.510 9.160
Te 2.382 6.608 3.053
Te 2.382 2.091 0.671
Te 2.382 2.091 5.436
Te 2.382 -2.091 6.777
Te 2.382 -2.091 11.543
Te 2.382 -6.608 9.160

Entry 2:
! PmScIr (PBE, optimized geometry); values from VASP
! DFT formation energy (eV per atom): 0.01
&SYSTEM
  ibrav = 0, nat = 3, ntyp = 3
/
ATOMIC_SPECIES
Pm 145.00 Pm.upf
Sc 44.96 Sc.upf
Ir 192.22 Ir.upf
CELL_PARAMETERS angstrom
0.000 3.239 3.239
3.239 0.000 3.239
3.239 3.239 0.000
ATOMIC_POSITIONS angstrom
Pm 0.000 0.000 0.000
Sc 4.859 4.859 4.859
Ir 3.239 3.239 3.239

Entry 3:
! NaTbFeSe3 (PBE, optimized geometry); values from VASP
! Distance to the lowest polymorph of the same formula (meV per atom): 0
&SYSTEM
  ibrav = 0, nat = 12, ntyp = 4
/
ATOMIC_SPECIES
Na 22.99 Na.upf
Tb 158.93 Tb.upf
Fe 55.84 Fe.upf
Se 78.96 Se.upf
CELL_PARAMETERS angstrom
8.153 0.000 0.000
0.000 3.996 0.000
-2.400 0.000 9.420
ATOMIC_POSITIONS angstrom
Na 1.230 0.999 2.526
Na 4.522 2.997 6.894
Tb 0.554 2.997 8.046
Tb 5.199 0.999 1.374
Fe -0.841 0.999 5.505
Fe 6.593 2.997 3.915
Se -1.487 0.999 7.846
Se 0.626 2.997 5.065
Se 3.156 2.997 1.464
Se 2.597 0.999 7.956
Se 5.127 0.999 4.355
Se 7.240 2.997 1.574

Entry 4:
! NaGeW (PBE, optimized geometry); values from VASP
! Distance to the lowest polymorph of the same formula (meV per atom): 0
&SYSTEM
  ibrav = 0, nat = 3, ntyp = 3
/
ATOMIC_SPECIES
Na 22.99 Na.upf
Ge 72.64 Ge.upf
W 183.84 W.upf
CELL_PARAMETERS angstrom
0.000 3.124 3.124
3.124 0.000 3.124
3.124 3.124 0.000
ATOMIC_POSITIONS angstrom
Na 0.000 0.000 0.000
Ge 1.562 1.562 1.562
W 3.124 3.124 3.124

Entry 5:
! SmThAl (PBE, optimized geometry); values from VASP
! Distance to the lowest polymorph of the same formula (meV per atom): 0
&SYSTEM
  ibrav = 0, nat = 3, ntyp = 3
/
ATOMIC_SPECIES
Sm 150.36 Sm.upf
Th 232.04 Th.upf
Al 26.98 Al.upf
CELL_PARAMETERS angstrom
0.000 3.604 3.604
3.604 0.000 3.604
3.604 3.604 0.000
ATOMIC_POSITIONS angstrom
Sm 0.000 0.000 0.000
Th 3.604 3.604 3.604
Al 1.802 1.802 1.802

Entry 6:
! RbLaFeSe3 (PBE, optimized geometry); values from VASP
! Distance to the lowest polymorph of the same formula (meV per atom): 15
&SYSTEM
  ibrav = 0, nat = 24, ntyp = 4
/
ATOMIC_SPECIES
Rb 85.47 Rb.upf
La 138.91 La.upf
Fe 55.84 Fe.upf
Se 78.96 Se.upf
CELL_PARAMETERS angstrom
11.809 0.000 0.000
0.000 4.450 0.000
0.000 0.000 12.835
ATOMIC_POSITIONS angstrom
Rb 2.026 1.113 0.102
Rb 3.879 3.338 6.519
Rb 7.930 1.113 6.316
Rb 9.783 3.338 12.733
La 0.216 1.113 8.632
La 5.689 3.338 2.214
La 6.120 1.113 10.621
La 11.593 3.338 4.203
Fe 2.888 1.113 3.783
Fe 3.017 3.338 10.201
Fe 8.792 1.113 2.634
Fe 8.921 3.338 9.052
Se 0.655 3.338 10.639
Se 1.297 1.113 5.663
Se 2.553 3.338 2.685
Se 3.351 1.113 9.102
Se 4.608 3.338 12.081
Se 5.250 1.113 4.221
Se 6.559 3.338 8.614
Se 7.201 1.113 0.754
Se 8.458 3.338 3.733
Se 9.256 1.113 10.150
Se 10.512 3.338 7.172
Se 11.154 1.113 2.197

Entry 7:
! Cs2TbHoTe4 (PBE, optimized geometry); values from VASP
! Total DFT energy (no corrections) (eV/cell): -34.572
&SYSTEM
  ibrav = 0, nat = 8, ntyp = 4
/
ATOMIC_SPECIES
Cs 132.91 Cs.upf
Tb 158.93 Tb.upf
Ho 164.93 Ho.upf
Te 127.60 Te.upf
CELL_PARAMETERS angstrom
4.547 0.000 0.000
-2.274 3.938 0.000
0.000 0.000 17.794
ATOMIC_POSITIONS angstrom
Cs 0.000 2.625 4.448
Cs 2.274 1.313 13.345
Tb 0.000 0.000 8.897
Ho 0.000 0.000 0.000
Te 0.000 2.625 10.593
Te 0.000 2.625 16.103
Te 2.274 1.313 1.690
Te 2.274 1.313 7.201

Entry 8:
! GdMgZn (PBE, optimized geometry); values from VASP
! Total DFT energy (no corrections) (eV/cell): -32.370
&SYSTEM
  ibrav = 0, nat = 12, ntyp = 3
/
ATOMIC_SPECIES
Gd 157.25 Gd.upf
Mg 24.30 Mg.upf
Zn 65.41 Zn.upf
CELL_PARAMETERS angstrom
6.151 0.000 0.000
2.406 5.789 0.000
1.888 1.283 7.504
ATOMIC_POSITIONS angstrom
Gd 0.000 0.000 0.000
Gd 2.023 1.355 2.437
Gd 4.622 2.894 5.228
Gd 4.777 2.979 0.149
Mg 3.339 4.218 2.710
Mg 5.717 5.817 4.947
Mg 6.492 4.266 2.536
Mg 8.719 5.779 5.124
Zn 1.577 2.995 0.056
Zn 5.610 5.773 0.111
Zn 5.124 1.256 2.699
Zn 7.668 2.997 4.951

Entry 9:
! GaCu17 (PBE, optimized geometry); values from VASP
! Distance to the lowest polymorph of the same formula (meV per atom): 2
&SYSTEM
  ibrav = 0, nat = 36, ntyp = 2
/
ATOMIC_SPECIES
Ga 69.72 Ga.upf
Cu 63.55 Cu.upf
CELL_PARAMETERS angstrom
4.431 0.000 0.000
0.000 5.113 0.000
-0.009 0.000 31.944
ATOMIC_POSITIONS angstrom
Ga 0.736 1.278 8.444
Ga 3.686 3.835 23.500
Cu 0.000 0.000 0.000
Cu 0.000 2.557 0.000
Cu -0.004 0.004 25.648
Cu -0.004 2.552 25.648
Cu 0.739 1.278 2.101
Cu 0.732 1.278 27.740
Cu 0.738 3.835 2.102
Cu 0.736 3.835 8.416
Cu 0.730 3.835 27.740
Cu 1.476 5.113 4.205
Cu 1.468 5.113 29.843
Cu 1.470 0.004 23.529
Cu 1.470 2.553 23.529
Cu 1.476 2.557 4.205
Cu 1.468 2.557 29.843
Cu 2.206 1.278 25.640
Cu 2.203 3.835 25.652
Cu 2.216 1.278 0.000
Cu 2.216 3.835 0.000
Cu 2.218 1.278 6.292
Cu 2.216 3.835 6.304
Cu 2.953 0.001 2.102
Cu 2.946 0.001 27.739
Cu 2.953 2.556 2.102
Cu 2.946 2.556 27.739
Cu 2.952 2.560 8.415
Cu 2.952 5.110 8.415
Cu 3.692 1.278 4.204
Cu 3.686 1.278 23.529
Cu 3.683 1.278 29.843
Cu 3.690 3.835 4.204
Cu 3.683 3.835 29.843
Cu 4.426 2.561 6.296
Cu 4.426 5.109 6.296

Entry 10:
! LuTeAsO (PBE, optimized geometry); values from VASP
! Distance to the lowest polymorph of the same formula (meV per atom): 663
&SYSTEM
  ibrav = 0, nat = 8, ntyp = 4
/
ATOMIC_SPECIES
Lu 174.97 Lu.upf
Te 127.60 Te.upf
As 74.92 As.upf
O 16.00 O.upf
CELL_PARAMETERS angstrom
5.491 0.000 0.000
0.000 5.491 0.000
0.000 0.000 5.320
ATOMIC_POSITIONS angstrom
Lu 1.373 4.119 0.000
Lu 4.119 1.373 0.000
Te 1.373 1.373 2.245
Te 4.119 4.119 3.075
As 1.373 1.373 4.836
As 4.119 4.119 0.484
O 1.373 4.119 2.660
O 4.119 1.373 2.660

Entry 11:
! LiFeP (PBE, optimized geometry); values from VASP
! Total DFT energy (no corrections) (eV/cell): -34.534
&SYSTEM
  ibrav = 0, nat = 6, ntyp = 3
/
ATOMIC_SPECIES
Li 6.94 Li.upf
Fe 55.84 Fe.upf
P 30.97 P.upf
CELL_PARAMETERS angstrom
1.863 -5.157 0.000
1.863 5.157 0.000
0.000 0.000 3.781
ATOMIC_POSITIONS angstrom
Li 1.863 4.391 2.836
Li 1.863 -4.391 0.945
Fe 1.863 2.622 0.945
Fe 1.863 -2.622 2.836
P 1.863 1.429 2.836
P 1.863 -1.429 0.945

Entry 12:
! Y2ErCo7Ni2 (PBE, optimized geometry); values from VASP
! DFT formation energy (eV per atom): -0.21
&SYSTEM
  ibrav = 0, nat = 12, ntyp = 4
/
ATOMIC_SPECIES
Y 88.91 Y.upf
Er 167.26 Er.upf
Co 58.93 Co.upf
Ni 58.69 Ni.upf
CELL_PARAMETERS angstrom
2.450 1.415 8.188
-2.450 1.415 8.188
0.000 -2.829 8.188
ATOMIC_POSITIONS angstrom
Y 0.000 0.000 3.421
Y 0.000 0.000 21.142
Er 0.000 0.000 0.000
Co -1.225 -0.707 10.179
Co 0.000 -1.415 14.384
Co -1.225 0.707 14.384
Co 0.000 0.000 12.281
Co 1.225 -0.707 10.179
Co 0.000 1.415 10.179
Co 1.225 0.707 14.384
Ni 0.000 0.000 8.191
Ni 0.000 0.000 16.372

Entry 13:
! HoB4Mo (PBE, optimized geometry); values from VASP
! Distance to the lowest polymorph of the same formula (meV per atom): 131
&SYSTEM
  ibrav = 0, nat = 6, ntyp = 3
/
ATOMIC_SPECIES
Ho 164.93 Ho.upf
B 10.81 B.upf
Mo 95.94 Mo.upf
CELL_PARAMETERS angstrom
-1.578 2.710 3.518
1.578 -2.710 3.518
1.578 2.710 -3.518
ATOMIC_POSITIONS angstrom
Ho 0.000 0.000 0.000
B 1.578 -0.883 1.773
B 1.578 0.883 1.773
B 0.000 1.827 1.744
B 0.000 3.593 1.744
Mo 0.000 0.000 3.518

Entry 14:
! BeCdCo2 (PBE, optimized geometry); values from VASP
! Total DFT energy (no corrections) (eV/cell): -17.273
&SYSTEM
  ibrav = 0, nat = 4, ntyp = 3
/
ATOMIC_SPECIES
Be 9.01 Be.upf
Cd 112.41 Cd.upf
Co 58.93 Co.upf
CELL_PARAMETERS angstrom
0.000 2.908 2.908
2.908 0.000 2.908
2.908 2.908 0.000
ATOMIC_POSITIONS angstrom
Be 0.000 0.000 0.000
Cd 1.454 1.454 1.454
Co 2.908 2.908 2.908
Co 4.362 4.362 4.362

Entry 15:
! ScAgPd2 (PBE, optimized geometry); values from VASP
! DFT formation energy (eV per atom): -0.51
&SYSTEM
  ibrav = 0, nat = 4, ntyp = 3
/
ATOMIC_SPECIES
Sc 44.96 Sc.upf
Ag 107.87 Ag.upf
Pd 106.42 Pd.upf
CELL_PARAMETERS angstrom
0.000 3.234 3.234
3.234 0.000 3.234
3.234 3.234 0.000
ATOMIC_POSITIONS angstrom
Sc 0.000 0.000 0.000
Ag 1.617 1.617 1.617
Pd 3.234 3.234 3.234
Pd 4.850 4.850 4.850

Entry 16:
! BePt2 (PBE, optimized geometry); values from VASP
! Total DFT energy (no corrections) (eV/cell): -17.397
&SYSTEM
  ibrav = 0, nat = 3, ntyp = 2
/
ATOMIC_SPECIES
Be 9.01 Be.upf
Pt 195.08 Pt.upf
CELL_PARAMETERS angstrom
0.000 2.755 2.755
2.755 0.000 2.755
2.755 2.755 0.000
ATOMIC_POSITIONS angstrom
Be 0.000 0.000 0.000
Pt 1.378 1.378 1.378
Pt 4.133 4.133 4.133

Entry 17:
! Zr2Ge3Mo4N3 (PBE, optimized geometry); values from VASP
! Total DFT energy (no corrections) (eV/cell): -210.594
&SYSTEM
  ibrav = 0, nat = 24, ntyp = 4
/
ATOMIC_SPECIES
Zr 91.22 Zr.upf
Ge 72.64 Ge.upf
Mo 95.94 Mo.upf
N 14.01 N.upf
CELL_PARAMETERS angstrom
4.776 -2.781 0.000
4.776 2.781 0.000
-3.207 0.000 12.695
ATOMIC_POSITIONS angstrom
Zr 2.328 2.298 7.680
Zr 2.413 2.298 11.363
Zr 3.932 -2.298 1.332
Zr 4.017 -2.298 5.016
Ge -0.553 0.632 9.503
Ge 1.051 -0.632 3.156
Ge 2.371 0.180 9.521
Ge 3.974 -0.180 3.174
Ge 5.294 0.632 9.540
Ge 6.898 -0.632 3.192
Mo 2.455 0.504 1.054
Mo 2.369 0.381 5.289
Mo 0.852 -0.504 7.402
Mo 0.766 -0.381 11.637
Mo 5.579 0.381 1.058
Mo 5.493 0.504 5.293
Mo 3.976 -0.381 7.406
Mo 3.890 -0.504 11.641
N 0.784 1.391 6.348
N 0.825 1.469 12.692
N 3.917 1.469 6.351
N 2.388 -1.391 0.000
N 2.428 -1.469 6.344
N 5.520 -1.469 0.003

Entry 18:
! SmTm (PBE, optimized geometry); values from VASP
! DFT formation energy (eV per atom): 0.74
! Distance to the lowest polymorph of the same formula (meV per atom): 737
&SYSTEM
  ibrav = 0, nat = 2, ntyp = 2
/
ATOMIC_SPECIES
Sm 150.36 Sm.upf
Tm 168.93 Tm.upf
CELL_PARAMETERS angstrom
0.000 3.216 3.216
3.216 0.000 3.216
3.216 3.216 0.000
ATOMIC_POSITIONS angstrom
Sm 0.000 0.000 0.000
Tm 3.216 3.216 3.216

Entry 19:
! RbDyPtSe3 (PBE, optimized geometry); values from VASP
! Total DFT energy (no corrections) (eV/cell): -57.675
&SYSTEM
  ibrav = 0, nat = 12, ntyp = 4
/
ATOMIC_SPECIES
Rb 85.47 Rb.upf
Dy 162.50 Dy.upf
Pt 195.08 Pt.upf
Se 78.96 Se.upf
CELL_PARAMETERS angstrom
2.011 -8.090 0.000
2.011 8.090 0.000
0.000 0.000 10.308
ATOMIC_POSITIONS angstrom
Rb 2.011 4.074 7.731
Rb 2.011 -4.074 2.577
Dy 0.000 0.000 0.000
Dy 0.000 0.000 5.154
Pt 2.011 0.256 2.577
Pt 2.011 -0.256 7.731
Se 2.011 6.800 2.577
Se 2.011 1.940 0.707
Se 2.011 1.940 4.447
Se 2.011 -1.940 5.861
Se 2.011 -1.940 9.601
Se 2.011 -6.800 7.731

Entry 20:
! SrSmCuS3 (PBE, optimized geometry); values from VASP
! Total DFT energy (no corrections) (eV/cell): -63.962
&SYSTEM
  ibrav = 0, nat = 12, ntyp = 4
/
ATOMIC_SPECIES
Sr 87.62 Sr.upf
Sm 150.36 Sm.upf
Cu 63.55 Cu.upf
S 32.06 S.upf
CELL_PARAMETERS angstrom
8.912 -1.996 0.000
8.912 1.996 0.000
-1.839 0.000 7.816
ATOMIC_POSITIONS angstrom
Sr 2.104 0.000 0.553
Sr 13.880 0.000 7.263
Sm 1.808 0.000 4.566
Sm 14.177 0.000 3.250
Cu 7.749 0.000 2.249
Cu 8.236 0.000 5.568
S -0.920 0.000 3.908
S 4.586 0.000 5.077
S 5.576 0.000 1.362
S 8.912 0.000 0.000
S 10.409 0.000 6.454
S 11.399 0.000 2.739